The following is a DFT calculation (GGA-PBE) of a relaxed SmCoH2 crystal.

Summary:
- Magnetic moment: 0.12 μB per cell
- Mass density: 6.87 g/cm3
- Electronic total energy: -19.47 eV per cell

```
data_SmCoH2
_chemical_formula_sum 'Sm1 Co1 H2'
_cell_length_a 4.427
_cell_length_b 4.427
_cell_length_c 4.427
_cell_angle_alpha 52.87
_cell_angle_beta 52.87
_cell_angle_gamma 52.87
_symmetry_space_group_name_H-M 'P 1'
_symmetry_Int_Tables_number 1
_symmetry_space_group_name_Hall 'P 1'
loop_
_atom_site_label
_atom_site_fract_x
_atom_site_fract_y
_atom_site_fract_z
Sm1 0.000 0.000 0.000
Co1 0.500 0.500 0.500
H1 0.363 0.363 0.363
H2 0.637 0.637 0.637
```